[1]
Entry from Alexandria: a relaxed structure of TlCoNi2Cl8 (PBE).

Computed properties:
Electronic total energy: -3.530 eV per atom
Crystal system: trigonal
Formation energy from raw total energies: -0.546 eV per atom
DOS(E_F): 0.7469 states/eV/atom

abc: 6.0857 6.0857 27.7553
angles: 90.00 90.00 120.00
Space group R-3 (No. 148, hexagonal axes)
Inequivalent atoms, fractional coordinates:
Tl: 0.0000 0.0000 0.0000
Co: 0.0000 0.0000 0.5000
Ni: 0.0000 0.0000 0.2354
Cl: 0.0000 0.0000 0.3142
Cl: 0.0060 0.3069 0.5486

=====

[2]
Entry from Alexandria: a relaxed structure of Zr2CoNiCl (PBE).

Computed properties:
Electronic total energy: -6.004 eV per atom
Crystal system: tetragonal
Formation energy from raw total energies: 0.362 eV per atom
DOS(E_F): 1.4207 states/eV/atom

abc: 4.8815 4.8815 4.3078
angles: 90.00 90.00 90.00
Space group P4/mmm (No. 123)
Inequivalent atoms, fractional coordinates:
Zr: 0.0000 0.5000 0.0000
Co: 0.0000 0.0000 0.5000
Ni: 0.0000 0.0000 0.0000
Cl: 0.5000 0.5000 0.5000